VASP calculation (GGA-PBE) on Sc2PbBrF after structural relaxation.

Unit cell a=4.541 b=4.541 c=5.409 alpha=90.00 beta=90.00 gamma=90.00
Fractional coordinates of all 5 atoms:
Sc (0.000, 0.500, 0.000)
Sc (0.500, 0.000, 0.000)
Pb (0.000, 0.000, 0.500)
Br (0.500, 0.500, 0.500)
F (0.500, 0.500, 0.000)

## Properties
calculated total energy = -4.90 eV/atom
total magnetization = 0.0 μB/f.u.
uncorrected formation energy = -0.916 eV per atom
space group = P4/mmm (123)